# NaNpZnO6, optimized geometry, DFT PBE
data_NaNpZnO6
_symmetry_space_group_name_H-M 'P -3 1 c'
_symmetry_Int_Tables_number 163
_symmetry_space_group_name_Hall '-P 3 2c'
_cell_length_a 5.3444
_cell_length_b 5.3444
_cell_length_c 10.4272
_cell_angle_alpha 90.00
_cell_angle_beta 90.00
_cell_angle_gamma 120.00
loop_
_atom_site_label
_atom_site_type_symbol
_atom_site_fract_x
_atom_site_fract_y
_atom_site_fract_z
Na1 Na 0.0000 0.0000 0.0000
Np1 Np 0.3333 0.6667 0.2500
Zn1 Zn 0.3333 0.6667 0.7500
O1 O 0.0141 0.3694 0.1447
# formation energy (no corrections): -37.5 kcal/mol of atoms
# volume: 14.33 Å³ per atom

---

# Dy3Y3Th, optimized geometry, DFT PBE
data_Dy3Y3Th
_symmetry_space_group_name_H-M 'P 63/m'
_symmetry_Int_Tables_number 176
_symmetry_space_group_name_Hall '-P 6c'
_cell_length_a 9.5778
_cell_length_b 9.5778
_cell_length_c 5.7049
_cell_angle_alpha 90.00
_cell_angle_beta 90.00
_cell_angle_gamma 120.00
loop_
_atom_site_label
_atom_site_type_symbol
_atom_site_fract_x
_atom_site_fract_y
_atom_site_fract_z
Dy1 Dy 0.0540 0.2404 0.2500
Y1 Y 0.0953 0.4782 0.7500
Th1 Th 0.3333 0.6667 0.2500
# formation energy from the elements: 0.19 eV per formula unit
# volume: 32.37 Å³ per atom

---

# Th6SiP3S2, optimized geometry, DFT PBE
data_Th6SiP3S2
_symmetry_space_group_name_H-M 'C 1 2/m 1'
_symmetry_Int_Tables_number 12
_symmetry_space_group_name_Hall '-C 2y'
_cell_length_a 18.023
_cell_length_b 4.151
_cell_length_c 8.243
_cell_angle_alpha 90.00
_cell_angle_beta 103.43
_cell_angle_gamma 90.00
loop_
_atom_site_label
_atom_site_type_symbol
_atom_site_fract_x
_atom_site_fract_y
_atom_site_fract_z
Th1 Th 0.000 0.000 0.247
Th2 Th 0.165 0.500 0.085
Th3 Th 0.168 0.500 0.580
Si1 Si 0.000 0.500 0.500
P1 P 0.000 0.500 0.000
P2 P 0.166 0.000 0.331
S1 S 0.168 0.000 0.834
# formation energy (no corrections): -34.9 kcal/mol of atoms
# volume: 24.99 Å³ per atom